Record 1
DFT (PBE-GGA) results for a relaxed K2TlSi crystal.

Lattice parameters (Å, degrees): 6.020 6.020 4.051 90.00 90.00 117.05
Fractional positions:
Tl  0.000  0.500  0.500
Si  0.500  0.000  0.500
K  0.500  0.500  0.000
K  0.000  0.000  0.000

Values from the calculation:
Formation energy without anion corrections   0.348 eV per atom
Offset from the most stable computed form   0.239 eV/atom
SG   Cmmm

***

Record 2
DFT (PBE-GGA) results for a relaxed K2NaAg crystal.

Lattice parameters (Å, degrees): 4.179 4.179 9.833 90.00 90.00 90.00
Fractional positions:
Na  0.500  0.500  0.500
K  0.000  0.000  0.799
K  0.000  0.000  0.201
Ag  0.500  0.500  0.000

Values from the calculation:
Formation energy from the elements   43.3 meV/atom
Offset from the most stable computed form   0.046 eV/atom
SG   P4/mmm

***

Record 3
DFT (PBE-GGA) results for a relaxed Pa2FePb crystal.

Lattice parameters (Å, degrees): 3.200 3.200 8.676 90.00 90.00 90.00
Site moments in Bohr magnetons follow the coordinates.
Fractional positions:
Fe  0.500  0.500  0.000  0.85
Pa  0.000  0.000  0.200  -0.19
Pa  0.000  0.000  0.800  -0.19
Pb  0.500  0.500  0.500  0.00

Values from the calculation:
Formation energy from the elements   -69.2 meV/atom
Offset from the most stable computed form   0.000 eV/atom
SG   P4/mmm

***

Record 4
DFT (PBE-GGA) results for a relaxed Ca2Tm2Ni15 crystal.

Lattice parameters (Å, degrees): 6.469 6.469 6.469 82.93 82.93 82.93
Site moments in Bohr magnetons follow the coordinates.
Fractional positions:
Tm  0.114  0.114  0.114  -0.10
Tm  0.886  0.886  0.886  -0.10
Ni  0.000  0.500  0.000  0.22
Ni  0.303  0.000  0.697  0.31
Ni  0.653  0.653  0.164  0.28
Ni  0.303  0.697  0.000  0.31
Ni  0.697  0.000  0.303  0.31
Ni  0.000  0.000  0.500  0.22
Ni  0.500  0.000  0.000  0.22
Ni  0.653  0.164  0.653  0.28
Ni  0.836  0.347  0.347  0.28
Ni  0.347  0.836  0.347  0.28
Ni  0.000  0.697  0.303  0.31
Ni  0.697  0.303  0.000  0.31
Ni  0.000  0.303  0.697  0.31
Ni  0.347  0.347  0.836  0.28
Ni  0.164  0.653  0.653  0.28
Ca  0.361  0.361  0.361  -0.02
Ca  0.639  0.639  0.639  -0.02

Values from the calculation:
Formation energy from the elements   -153.5 meV/atom
SG   R-3m

***

Record 5
DFT (PBE-GGA) results for a relaxed Ba2LiCu crystal.

Lattice parameters (Å, degrees): 7.301 7.301 5.638 67.20 67.20 31.26
Fractional positions:
Li  0.826  0.826  0.673
Cu  0.477  0.477  0.525
Ba  0.999  0.999  0.001
Ba  0.198  0.198  0.301

Values from the calculation:
Formation energy from the elements   105.1 meV/atom
SG   Cm

***

Record 6
DFT (PBE-GGA) results for a relaxed B5C7 crystal.

Lattice parameters (Å, degrees): 7.160 6.999 6.999 158.24 142.44 43.70
Fractional positions:
C  0.160  0.147  0.013
C  0.498  0.161  0.336
C  0.524  0.843  0.682
C  0.612  0.960  0.653
C  0.492  0.500  0.992
C  0.614  0.621  0.993
C  0.136  0.464  0.672
B  0.984  0.652  0.332
B  0.978  0.985  0.993
B  0.578  0.286  0.292
B  0.164  0.785  0.379
B  0.010  0.347  0.663

Values from the calculation:
Formation energy from the elements   382.1 meV/atom
Offset from the most stable computed form   0.124 eV/atom
SG   Cm

***

Record 7
DFT (PBE-GGA) results for a relaxed Ba2CaRh crystal.

Lattice parameters (Å, degrees): 5.791 5.791 5.791 60.00 60.00 60.00
Fractional positions:
Rh  0.500  0.500  0.500
Ca  0.000  0.000  0.000
Ba  0.250  0.250  0.250
Ba  0.750  0.750  0.750

Values from the calculation:
Formation energy from the elements   215.9 meV/atom
Offset from the most stable computed form   0.430 eV/atom
SG   Fm-3m

***

Record 8
DFT (PBE-GGA) results for a relaxed KRbFe2Cl8 crystal.

Lattice parameters (Å, degrees): 6.700 6.700 10.673 88.82 88.82 68.11
Site moments in Bohr magnetons follow the coordinates.
Fractional positions:
Cl  0.273  0.755  0.758  0.18
Cl  0.701  0.701  0.420  0.21
Cl  0.714  0.714  0.071  0.21
Cl  0.299  0.299  0.580  0.21
Cl  0.727  0.245  0.242  0.18
Cl  0.286  0.286  0.929  0.21
Cl  0.245  0.727  0.242  0.18
Cl  0.755  0.273  0.758  0.18
K  0.000  0.000  0.000  0.00
Fe  0.602  0.602  0.243  3.76
Fe  0.398  0.398  0.757  3.76
Rb  0.000  0.000  0.500  0.01

Values from the calculation:
Formation energy without anion corrections   -1.230 eV per atom
SG   C2/m

***

Number 1: total magnetic moment 0.0 Bohr magnetons per cell. Number 2: total magnetic moment 0.0 Bohr magnetons per cell. Number 3: total magnetic moment 0.4 Bohr magnetons per cell. Number 4: total magnetic moment 3.7 Bohr magnetons per cell. Number 5: total magnetic moment 0.0 Bohr magnetons per cell. Number 6: total magnetic moment 0.0 Bohr magnetons per cell. Number 7: total magnetic moment 0.0 Bohr magnetons per cell. Number 8: total magnetic moment 10.0 Bohr magnetons per cell.